1.
First-principles (GGA-PBE) data for an optimized crystal structure of Na2YHgF6, as listed in Alexandria.

Results
DOS(E_F) ... 0.36 states/eV/atom
Total magnetic moment ... 0.058 μB per atom
Crystal system ... cubic
ΔE_f (raw) ... -2.631 eV per atom

Cell lengths 6.612, 6.612, 6.612 Å; angles 60.00, 60.00, 60.00 degrees
Each line ends with the local moment (μB).
Element x y z (fractional)
Na 0.750 0.750 0.750  0.00
Na 0.250 0.250 0.250  0.00
Y 0.000 0.000 0.000  0.02
Hg 0.500 0.500 0.500  0.25
F 0.232 0.768 0.232  0.03
F 0.768 0.232 0.232  0.03
F 0.768 0.232 0.768  0.03
F 0.232 0.232 0.768  0.03
F 0.768 0.768 0.232  0.03
F 0.232 0.768 0.768  0.03

2.
First-principles (GGA-PBE) data for an optimized crystal structure of NaYHgF2, as listed in Alexandria.

Results
DOS(E_F) ... 0.50 states/eV/atom
Total magnetic moment ... 0.015 μB per atom
Crystal system ... tetragonal
ΔE_f (raw) ... -0.578 eV per atom

Cell lengths 4.886, 5.278, 4.886 Å; angles 90.00, 90.00, 90.00 degrees
Element x y z (fractional)
Y 0.500 0.500 0.500
Na 0.000 0.500 0.000
Hg 0.000 0.000 0.000
F 0.000 0.000 0.500
F 0.500 0.000 0.000

3.
First-principles (GGA-PBE) data for an optimized crystal structure of NaZn2HgF8, as listed in Alexandria.

Results
DOS(E_F) ... 1.03 states/eV/atom
Total magnetic moment ... 0.058 μB per atom
Crystal system ... tetragonal
ΔE_f (raw) ... -1.908 eV per atom

Cell lengths 6.206, 6.206, 6.206 Å; angles 108.62, 108.62, 111.18 degrees
Each line ends with the local moment (μB).
Element x y z (fractional)
Na 0.250 0.750 0.500  0.00
Zn 0.750 0.250 0.500  0.02
Zn 0.500 0.500 0.000  0.11
Hg 0.000 0.000 0.000  0.03
F 0.372 0.062 0.310  0.03
F 0.309 0.494 0.185  0.10
F 0.309 0.123 0.815  0.10
F 0.753 0.062 0.690  0.03
F 0.877 0.691 0.185  0.10
F 0.938 0.247 0.310  0.03
F 0.938 0.628 0.690  0.03
F 0.506 0.691 0.815  0.10